P) VASP calculation (PBE-GGA) on an optimized crystal structure of CdCoOs.

Cell lengths 4.1177, 4.1177, 4.1177 Å; angles 60.00, 60.00, 60.00 degrees
Last column: magnetic moment on the atom in μB.
Positions (direct):
Co 0.7500 0.7500 0.7500  0.44
Os 0.0000 0.0000 0.0000  0.56
Cd 0.5000 0.5000 0.5000  -0.01

## Properties
Its density of states at the Fermi level is 4.50 states/eV/f.u.

Q) VASP calculation (PBE-GGA) on an optimized crystal structure of CdCoOs.

Cell lengths 7.2938, 7.0603, 2.7239 Å; angles 83.93, 74.27, 21.80 degrees
Last column: magnetic moment on the atom in μB.
Positions (direct):
Cd 0.9945 0.9945 0.0055  -0.02
Os 0.6804 0.6804 0.3196  0.33
Co 0.3251 0.3251 0.6749  1.49

## Properties
Its density of states at the Fermi level is 3.92 states/eV/f.u.

R) VASP calculation (PBE-GGA) on an optimized crystal structure of CdCoOs.

Cell lengths 6.1951, 6.1951, 6.1951 Å; angles 154.30, 154.30, 36.66 degrees
Last column: magnetic moment on the atom in μB.
Positions (direct):
Cd 0.9942 0.9942 0.0000  0.00
Os 0.6884 0.6884 0.0000  0.03
Co 0.3174 0.3174 0.0000  0.41

## Properties
Its density of states at the Fermi level is 3.16 states/eV/f.u.

Least stable structure: P)

P) VASP calculation (PBE-GGA) on an optimized crystal structure of Cd3CoP.

Cell lengths 5.0603, 5.0603, 5.0603 Å; angles 90.00, 90.00, 90.00 degrees
Last column: magnetic moment on the atom in μB.
Positions (direct):
Cd 0.5000 0.0000 0.0000  -0.01
Cd 0.0000 0.5000 0.0000  -0.03
Cd 0.0000 0.0000 0.5000  0.02
Co 0.5000 0.5000 0.5000  2.09
P 0.0000 0.0000 0.0000  0.00

## Properties
Its density of states at the Fermi level is 4.93 states/eV/f.u.

Q) VASP calculation (PBE-GGA) on an optimized crystal structure of Cd3CoP.

Cell lengths 4.9101, 4.9101, 4.9101 Å; angles 90.00, 90.00, 90.00 degrees
Last column: magnetic moment on the atom in μB.
Positions (direct):
Cd 0.0000 0.5000 0.0000  -0.03
Cd 0.5000 0.0000 0.0000  -0.02
Cd 0.0000 0.0000 0.5000  -0.02
P 0.5000 0.5000 0.5000  0.20
Co 0.0000 0.0000 0.0000  1.06

## Properties
Its density of states at the Fermi level is 10.12 states/eV/f.u.

Least stable structure: P)